1.
DFT (PBE) results for crystalline RbNaPr at its relaxed geometry.

Calculated values
- Total DFT energy (no corrections): -1.3498 eV per atom
- Total magnetic moment: 1.66 μB per formula unit
- ρ: 2.67 g/cm3

abc: 6.029 6.029 6.029
angles: 60.00 60.00 60.00
Sites, in units of the cell vectors:
1 Na 0.250 0.250 0.250
2 Pr 0.750 0.750 0.750
3 Rb 0.000 0.000 0.000


2.
DFT (PBE) results for crystalline NaPrS2 at its relaxed geometry.

Calculated values
- Total DFT energy (no corrections): -5.3709 eV per atom
- Total magnetic moment: 0.00 μB per formula unit
- ρ: 3.78 g/cm3

abc: 7.106 7.106 7.106
angles: 34.03 34.03 34.03
Sites, in units of the cell vectors:
1 Na 0.500 0.500 0.500
2 S 0.745 0.745 0.745
3 Pr 0.000 0.000 0.000
4 S 0.255 0.255 0.255


3.
DFT (PBE) results for crystalline NaPr5S8 at its relaxed geometry.

Calculated values
- Total DFT energy (no corrections): -6.1434 eV per atom
- Total magnetic moment: 0.00 μB per formula unit
- ρ: 5.06 g/cm3

abc: 7.485 7.485 7.485
angles: 109.51 109.51 109.39
Sites, in units of the cell vectors:
1 S 0.136 0.380 0.395
2 Pr 0.374 0.751 0.883
3 Pr 0.509 0.626 0.378
4 Pr 0.249 0.131 0.622
5 Pr 0.000 0.000 0.000
6 Pr 0.869 0.491 0.117
7 S 0.627 0.528 0.752
8 Na 0.750 0.250 0.500
9 S 0.472 0.223 0.098
10 S 0.620 0.015 0.755
11 S 0.125 0.373 0.902
12 S 0.985 0.740 0.605
13 S 0.260 0.864 0.245
14 S 0.777 0.875 0.248